The following is a DFT calculation (PBE with a Hubbard U) of a geometry-optimized SmHoV2O8 structure.

a b c (Å): 6.052 6.052 6.052
angles (deg): 106.17 106.17 116.29
Positions (direct):
1 Sm 0.000 0.000 0.000
2 Ho 0.750 0.250 0.500
3 V 0.250 0.750 0.500
4 V 0.500 0.500 0.000
5 O 0.072 0.391 0.319
6 O 0.072 0.754 0.681
7 O 0.142 0.328 0.814
8 O 0.246 0.928 0.319
9 O 0.514 0.328 0.186
10 O 0.609 0.928 0.681
11 O 0.672 0.486 0.814
12 O 0.672 0.858 0.186

For the total magnetization, the calculation gives 0.000 μB/atom. As for the total energy: -96.6 eV per formula unit.